## LiMnAsO2 (PBE with a Hubbard U)

Data for a geometry-optimized LiMnAsO2 structure.

Space-group type: P4/mmm
Spin magnetization in μB/f.u.: 4.917
Calculated total energy in eV/cell: -24.5

```
data_LiMnAsO2
_chemical_formula_sum 'Li1 Mn1 As1 O2'
_cell_length_a 4.069
_cell_length_b 4.772
_cell_length_c 4.069
_cell_angle_alpha 90.00
_cell_angle_beta 90.00
_cell_angle_gamma 90.00
_space_group_name_H-M_alt 'P 1'
_space_group_IT_number 1
_space_group_name_Hall 'P 1'
loop_
_atom_site_label
_atom_site_type_symbol
_atom_site_fract_x
_atom_site_fract_y
_atom_site_fract_z
_atom_site_occupancy
As1 As 0.000 0.000 0.000 1
Mn1 Mn 0.000 0.500 0.000 1
O1 O 0.000 0.000 0.500 1
O2 O 0.500 0.000 0.000 1
Li1 Li 0.500 0.500 0.500 1
```